No. 1
# ReIr

A crystal of ReIr relaxed with PBEsol (meta-GGA SCAN, Alexandria via LeMat-Bulk).

## Properties
Volume in Å³/cell: 85.23
Calculated formation energy in kJ/mol of formula units: -50
M_tot in μB per formula unit: 0.00
Crystal system: monoclinic

Geometry as POSCAR:
```
ReIr
1.0
4.9697 -1.3637 0.0000
4.9697 1.3637 0.0000
-1.5572 0.0000 6.2878
Re Ir
3 3
Direct
0.0000 0.0000 0.0000
0.0589 0.0589 0.6129
0.3869 0.3869 0.2799
0.3396 0.3396 0.6700
0.6642 0.6642 0.3326
0.7214 0.7214 0.9466
```

---

No. 2
# ReIr

A crystal of ReIr relaxed with PBEsol (meta-GGA SCAN, Alexandria via LeMat-Bulk).

## Properties
Volume in Å³/cell: 56.87
Calculated formation energy in kJ/mol of formula units: -45
M_tot in μB per formula unit: 0.00
Crystal system: orthorhombic

Geometry as POSCAR:
```
ReIr
1.0
2.7415 0.0000 0.0000
0.0000 4.3397 0.0000
0.0000 0.0000 4.7804
Re Ir
2 2
Direct
0.2500 0.2500 0.0892
0.7500 0.7500 0.9108
0.2500 0.7500 0.4204
0.7500 0.2500 0.5796
```

---

No. 3
# ReIr2

A crystal of ReIr2 relaxed with PBEsol (meta-GGA SCAN, Alexandria via LeMat-Bulk).

## Properties
Volume in Å³/cell: 85.09
Calculated formation energy in kJ/mol of formula units: -48
M_tot in μB per formula unit: 0.00
Crystal system: monoclinic

Geometry as POSCAR:
```
ReIr2
1.0
4.9838 -1.3659 0.0000
4.9838 1.3659 0.0000
-1.5696 0.0000 6.2498
Re Ir
2 4
Direct
0.0000 0.0000 0.0000
0.6691 0.6691 0.3334
0.2768 0.2768 0.0557
0.3345 0.3345 0.6632
0.6107 0.6107 0.7244
0.9493 0.9493 0.3859
```

---

No. 4
# ReIr

A crystal of ReIr relaxed with PBEsol (meta-GGA SCAN, Alexandria via LeMat-Bulk).

## Properties
Volume in Å³/cell: 28.40
Calculated formation energy in kJ/mol of formula units: -45
M_tot in μB per formula unit: 0.00
Crystal system: hexagonal

Geometry as POSCAR:
```
ReIr
1.0
2.7386 0.0000 0.0000
-1.3693 2.3717 0.0000
0.0000 0.0000 4.3728
Re Ir
1 1
Direct
0.0000 0.0000 0.0000
0.6667 0.3333 0.5000
```

---

No. 5
# ReIr5

A crystal of ReIr5 relaxed with PBEsol (meta-GGA SCAN, Alexandria via LeMat-Bulk).

## Properties
Volume in Å³/cell: 84.74
Calculated formation energy in kJ/mol of formula units: -50
M_tot in μB per formula unit: 0.00
Crystal system: tetragonal

Geometry as POSCAR:
```
ReIr5
1.0
2.7113 0.0000 0.0000
0.0000 2.7113 0.0000
0.0000 0.0000 11.5271
Re Ir
1 5
Direct
0.0000 0.0000 0.0000
0.0000 0.0000 0.3362
0.0000 0.0000 0.6638
0.5000 0.5000 0.1642
0.5000 0.5000 0.5000
0.5000 0.5000 0.8358
```

---

No. 6
# ReIr5

A crystal of ReIr5 relaxed with PBEsol (meta-GGA SCAN, Alexandria via LeMat-Bulk).

## Properties
Volume in Å³/cell: 84.92
Calculated formation energy in kJ/mol of formula units: -41
M_tot in μB per formula unit: 0.00
Crystal system: monoclinic

Geometry as POSCAR:
```
ReIr5
1.0
4.9874 -1.3653 0.0000
4.9874 1.3653 0.0000
-1.5899 0.0000 6.2355
Re Ir
1 5
Direct
0.0000 0.0000 0.0000
0.2794 0.2794 0.0533
0.3360 0.3360 0.6699
0.6093 0.6093 0.7233
0.6634 0.6634 0.3255
0.9452 0.9452 0.3875
```

---

No. 7
# ReIr2

A crystal of ReIr2 relaxed with PBEsol (meta-GGA SCAN, Alexandria via LeMat-Bulk).

## Properties
Volume in Å³/cell: 42.72
Calculated formation energy in kJ/mol of formula units: -56
M_tot in μB per formula unit: 0.00
Crystal system: tetragonal

Geometry as POSCAR:
```
ReIr2
1.0
-1.3617 1.3617 5.7597
1.3617 -1.3617 5.7597
1.3617 1.3617 -5.7597
Re Ir
1 2
Direct
0.0000 0.0000 0.0000
0.3378 0.3378 0.0000
0.6622 0.6622 0.0000
```

---

No. 8
# ReIr2

A crystal of ReIr2 relaxed with PBEsol (meta-GGA SCAN, Alexandria via LeMat-Bulk).

## Properties
Volume in Å³/cell: 42.47
Calculated formation energy in kJ/mol of formula units: -54
M_tot in μB per formula unit: 0.00
Crystal system: orthorhombic

Geometry as POSCAR:
```
ReIr2
1.0
-1.3516 1.9259 4.0783
1.3516 -1.9259 4.0783
1.3516 1.9259 -4.0783
Re Ir
1 2
Direct
0.0000 0.0000 0.0000
0.3354 0.3354 0.0000
0.6646 0.6646 0.0000
```

---

No. 9
# ReIr2

A crystal of ReIr2 relaxed with PBEsol (meta-GGA SCAN, Alexandria via LeMat-Bulk).

## Properties
Volume in Å³/cell: 44.09
Calculated formation energy in kJ/mol of formula units: 126
M_tot in μB per formula unit: 0.00
Crystal system: trigonal

Geometry as POSCAR:
```
ReIr2
1.0
4.3907 0.0000 0.0000
-2.1954 3.8025 0.0000
0.0000 0.0000 2.6409
Re Ir
1 2
Direct
0.0000 0.0000 0.0000
0.3333 0.6667 0.7435
0.6667 0.3333 0.2566
```

---

No. 10
# ReIr

A crystal of ReIr relaxed with PBEsol (meta-GGA SCAN, Alexandria via LeMat-Bulk).

## Properties
Volume in Å³/cell: 61.91
Calculated formation energy in kJ/mol of formula units: 60
M_tot in μB per formula unit: 0.00
Crystal system: trigonal

Geometry as POSCAR:
```
ReIr
1.0
2.1446 1.2382 3.8855
-2.1446 1.2382 3.8855
0.0000 -2.4764 3.8855
Re Ir
2 2
Direct
0.1660 0.1660 0.1660
0.8340 0.8340 0.8340
0.3879 0.3879 0.3879
0.6121 0.6121 0.6121
```

---

No. 11
# ReIr5

A crystal of ReIr5 relaxed with PBEsol (meta-GGA SCAN, Alexandria via LeMat-Bulk).

## Properties
Volume in Å³/cell: 84.85
Calculated formation energy in kJ/mol of formula units: -47
M_tot in μB per formula unit: 0.00
Crystal system: orthorhombic

Geometry as POSCAR:
```
ReIr5
1.0
4.3707 0.0000 0.0000
0.0000 1.3667 7.1026
0.0000 -1.3667 7.1026
Re Ir
1 5
Direct
0.0000 0.0000 0.0000
0.0000 0.3364 0.3364
0.0000 0.6651 0.6651
0.5000 0.2239 0.2239
0.5000 0.5563 0.5563
0.5000 0.8891 0.8891
```

---

No. 12
# ReIr

A crystal of ReIr relaxed with PBEsol (meta-GGA SCAN, Alexandria via LeMat-Bulk).

## Properties
Volume in Å³/cell: 56.97
Calculated formation energy in kJ/mol of formula units: -33
M_tot in μB per formula unit: 0.00
Crystal system: tetragonal

Geometry as POSCAR:
```
ReIr
1.0
-1.9390 1.9390 3.7878
1.9390 -1.9390 3.7878
1.9390 1.9390 -3.7878
Re Ir
2 2
Direct
0.3750 0.6250 0.7500
0.6250 0.3750 0.2500
0.1250 0.8750 0.2500
0.8750 0.1250 0.7500
```

---

No. 13
# Re3Ir2

A crystal of Re3Ir2 relaxed with PBEsol (meta-GGA SCAN, Alexandria via LeMat-Bulk).

## Properties
Volume in Å³/cell: 81.81
Calculated formation energy in kJ/mol of formula units: 296
M_tot in μB per formula unit: 0.00
Crystal system: trigonal

Geometry as POSCAR:
```
Re3Ir2
1.0
4.1552 0.0000 0.0000
-2.0776 3.5985 0.0000
0.0000 0.0000 5.4717
Re Ir
3 2
Direct
0.0000 0.0000 0.0000
0.3333 0.6667 0.4035
0.6667 0.3333 0.5965
0.3333 0.6667 0.8667
0.6667 0.3333 0.1333
```

---

No. 14
# ReIr

A crystal of ReIr relaxed with PBEsol (meta-GGA SCAN, Alexandria via LeMat-Bulk).

## Properties
Volume in Å³/cell: 56.78
Calculated formation energy in kJ/mol of formula units: -69
M_tot in μB per formula unit: 0.00
Crystal system: orthorhombic

Geometry as POSCAR:
```
ReIr
1.0
4.3597 0.0000 0.0000
0.0000 2.7184 0.0000
0.0000 0.0000 4.7908
Re Ir
2 2
Direct
0.2500 0.0000 0.1641
0.7500 0.0000 0.8359
0.2500 0.5000 0.6670
0.7500 0.5000 0.3330
```

---

No. 15
# ReIr7

A crystal of ReIr7 relaxed with PBEsol (meta-GGA SCAN, Alexandria via LeMat-Bulk).

## Properties
Volume in Å³/cell: 112.63
Calculated formation energy in kJ/mol of formula units: -51
M_tot in μB per formula unit: 0.00
Crystal system: cubic

Geometry as POSCAR:
```
ReIr7
1.0
0.0000 3.8330 3.8330
3.8330 0.0000 3.8330
3.8330 3.8330 0.0000
Re Ir
1 7
Direct
0.0000 0.0000 0.0000
0.0000 0.0000 0.5000
0.0000 0.5000 0.0000
0.0000 0.5000 0.5000
0.5000 0.0000 0.0000
0.5000 0.0000 0.5000
0.5000 0.5000 0.0000
0.5000 0.5000 0.5000
```

---

No. 16
# ReIr2

A crystal of ReIr2 relaxed with PBEsol (meta-GGA SCAN, Alexandria via LeMat-Bulk).

## Properties
Volume in Å³/cell: 84.99
Calculated formation energy in kJ/mol of formula units: -52
M_tot in μB per formula unit: 0.00
Crystal system: monoclinic

Geometry as POSCAR:
```
ReIr2
1.0
4.9588 -1.3672 0.0000
4.9588 1.3672 0.0000
-1.5639 0.0000 6.2678
Re Ir
2 4
Direct
0.1946 0.1946 0.1393
0.8054 0.8054 0.8607
0.1414 0.1414 0.5334
0.4717 0.4717 0.1898
0.5283 0.5283 0.8102
0.8586 0.8586 0.4666
```

---

No. 17
# ReIr

A crystal of ReIr relaxed with PBEsol (meta-GGA SCAN, Alexandria via LeMat-Bulk).

## Properties
Volume in Å³/cell: 29.39
Calculated formation energy in kJ/mol of formula units: 126
M_tot in μB per formula unit: 0.00
Crystal system: cubic

Geometry as POSCAR:
```
ReIr
1.0
3.0861 0.0000 0.0000
0.0000 3.0861 0.0000
0.0000 0.0000 3.0861
Re Ir
1 1
Direct
0.0000 0.0000 0.0000
0.5000 0.5000 0.5000
```

---

No. 18
# ReIr5

A crystal of ReIr5 relaxed with PBEsol (meta-GGA SCAN, Alexandria via LeMat-Bulk).

## Properties
Volume in Å³/cell: 84.68
Calculated formation energy in kJ/mol of formula units: -73
M_tot in μB per formula unit: 0.00
Crystal system: orthorhombic

Geometry as POSCAR:
```
ReIr5
1.0
1.9173 -5.7440 0.0000
1.9173 5.7440 0.0000
0.0000 0.0000 3.8447
Re Ir
1 5
Direct
0.0000 0.0000 0.0000
0.1657 0.8343 0.5000
0.3389 0.6611 0.0000
0.5000 0.5000 0.5000
0.6611 0.3389 0.0000
0.8343 0.1657 0.5000
```

---

No. 19
# ReIr

A crystal of ReIr relaxed with PBEsol (meta-GGA SCAN, Alexandria via LeMat-Bulk).

## Properties
Volume in Å³/cell: 56.83
Calculated formation energy in kJ/mol of formula units: -47
M_tot in μB per formula unit: 0.00
Crystal system: monoclinic

Geometry as POSCAR:
```
ReIr
1.0
4.9575 -1.3641 0.0000
4.9575 1.3641 0.0000
-2.2520 0.0000 4.2019
Re Ir
2 2
Direct
0.1256 0.1256 0.2905
0.8744 0.8744 0.7095
0.3782 0.3782 0.2079
0.6218 0.6218 0.7921
```

---

No. 20
# ReIr2

A crystal of ReIr2 relaxed with PBEsol (meta-GGA SCAN, Alexandria via LeMat-Bulk).

## Properties
Volume in Å³/cell: 84.77
Calculated formation energy in kJ/mol of formula units: -78
M_tot in μB per formula unit: 0.00
Crystal system: orthorhombic

Geometry as POSCAR:
```
ReIr2
1.0
1.3645 -7.1339 0.0000
1.3645 7.1339 0.0000
0.0000 0.0000 4.3541
Re Ir
2 4
Direct
0.1124 0.8876 0.7500
0.8876 0.1124 0.2500
0.2241 0.7759 0.2500
0.4459 0.5541 0.7500
0.5541 0.4459 0.2500
0.7759 0.2241 0.7500
```

---

No. 21
# ReIr4

A crystal of ReIr4 relaxed with PBEsol (meta-GGA SCAN, Alexandria via LeMat-Bulk).

## Properties
Volume in Å³/cell: 70.62
Calculated formation energy in kJ/mol of formula units: -58
M_tot in μB per formula unit: 0.00
Crystal system: tetragonal

Geometry as POSCAR:
```
ReIr4
1.0
-3.0346 3.0346 1.9172
3.0346 -3.0346 1.9172
3.0346 3.0346 -1.9172
Re Ir
1 4
Direct
0.0000 0.0000 0.0000
0.2043 0.6041 0.8084
0.3959 0.2043 0.6002
0.6041 0.7957 0.3998
0.7957 0.3959 0.1916
```

---

No. 22
# ReIr2

A crystal of ReIr2 relaxed with PBEsol (meta-GGA SCAN, Alexandria via LeMat-Bulk).

## Properties
Volume in Å³/cell: 169.92
Calculated formation energy in kJ/mol of formula units: -69
M_tot in μB per formula unit: 0.00
Crystal system: orthorhombic

Geometry as POSCAR:
```
ReIr2
1.0
4.7334 0.0000 0.0000
0.0000 4.3584 0.0000
0.0000 0.0000 8.2366
Re Ir
4 8
Direct
0.1718 0.2500 0.1657
0.3282 0.7500 0.6657
0.6718 0.2500 0.3343
0.8282 0.7500 0.8343
0.1620 0.2500 0.8337
0.1693 0.2500 0.4975
0.3307 0.7500 0.9975
0.3380 0.7500 0.3337
0.6620 0.2500 0.6663
0.6693 0.2500 0.0025
0.8307 0.7500 0.5025
0.8380 0.7500 0.1663
```

---

No. 23
# ReIrRh2

A crystal of ReIrRh2 relaxed with PBEsol (meta-GGA SCAN, Alexandria via LeMat-Bulk).

## Properties
Volume in Å³/cell: 56.77
Calculated formation energy in kJ/mol of formula units: 91
M_tot in μB per formula unit: 0.00
Crystal system: tetragonal

Geometry as POSCAR:
```
ReIrRh2
1.0
3.2513 0.0000 0.0000
0.0000 3.2513 0.0000
0.0000 0.0000 5.3703
Re Ir Rh
1 1 2
Direct
0.0000 0.0000 0.0000
0.5000 0.5000 0.7525
0.0000 0.0000 0.5020
0.5000 0.5000 0.2531
```

---

No. 24
# ReIr2Rh

A crystal of ReIr2Rh relaxed with PBEsol (meta-GGA SCAN, Alexandria via LeMat-Bulk).

## Properties
Volume in Å³/cell: 55.93
Calculated formation energy in kJ/mol of formula units: -43
M_tot in μB per formula unit: 0.00
Crystal system: monoclinic

Geometry as POSCAR:
```
ReIr2Rh
1.0
4.4910 -1.3483 0.0000
4.4910 1.3483 0.0000
-0.8011 0.0000 4.6186
Re Ir Rh
1 2 1
Direct
0.0000 0.0000 0.0000
0.2530 0.2530 0.7524
0.7470 0.7470 0.2476
0.5000 0.5000 0.5000
```

---

No. 25
# Re2IrRh

A crystal of Re2IrRh relaxed with PBEsol (meta-GGA SCAN, Alexandria via LeMat-Bulk).

## Properties
Volume in Å³/cell: 58.16
Calculated formation energy in kJ/mol of formula units: 126
M_tot in μB per formula unit: 0.00
Crystal system: tetragonal

Geometry as POSCAR:
```
Re2IrRh
1.0
3.2922 0.0000 0.0000
0.0000 3.2922 0.0000
0.0000 0.0000 5.3662
Re Ir Rh
2 1 1
Direct
0.0000 0.0000 0.2460
0.0000 0.0000 0.7540
0.5000 0.5000 0.0000
0.5000 0.5000 0.5000
```

---

No. 26
# ReIr2Rh

A crystal of ReIr2Rh relaxed with PBEsol (meta-GGA SCAN, Alexandria via LeMat-Bulk).

## Properties
Volume in Å³/cell: 55.91
Calculated formation energy in kJ/mol of formula units: -63
M_tot in μB per formula unit: 0.00
Crystal system: orthorhombic

Geometry as POSCAR:
```
ReIr2Rh
1.0
2.6979 0.0000 0.0000
0.0000 3.8297 0.0000
0.0000 0.0000 5.4110
Re Ir Rh
1 2 1
Direct
0.0000 0.0000 0.0000
0.5000 0.5000 0.2484
0.5000 0.5000 0.7516
0.0000 0.0000 0.5000
```

---

No. 27
# ReIrRh2

A crystal of ReIrRh2 relaxed with PBEsol (meta-GGA SCAN, Alexandria via LeMat-Bulk).

## Properties
Volume in Å³/cell: 55.31
Calculated formation energy in kJ/mol of formula units: -24
M_tot in μB per formula unit: 0.00
Crystal system: tetragonal

Geometry as POSCAR:
```
ReIrRh2
1.0
-1.8970 1.8970 3.8424
1.8970 -1.8970 3.8424
1.8970 1.8970 -3.8424
Re Ir Rh
1 1 2
Direct
0.0000 0.0000 0.0000
0.5000 0.5000 0.0000
0.2500 0.7500 0.5000
0.7500 0.2500 0.5000
```

---

No. 28
# ReIr2Rh

A crystal of ReIr2Rh relaxed with PBEsol (meta-GGA SCAN, Alexandria via LeMat-Bulk).

## Properties
Volume in Å³/cell: 55.90
Calculated formation energy in kJ/mol of formula units: -51
M_tot in μB per formula unit: 0.00
Crystal system: orthorhombic

Geometry as POSCAR:
```
ReIr2Rh
1.0
2.7042 -3.8244 0.0000
2.7042 3.8244 0.0000
0.0000 0.0000 2.7024
Re Ir Rh
1 2 1
Direct
0.0000 0.0000 0.0000
0.0000 0.5000 0.5000
0.5000 0.0000 0.5000
0.5000 0.5000 0.0000
```

---

No. 29
# ReIr2Rh

A crystal of ReIr2Rh relaxed with PBEsol (meta-GGA SCAN, Alexandria via LeMat-Bulk).

## Properties
Volume in Å³/cell: 56.07
Calculated formation energy in kJ/mol of formula units: -30
M_tot in μB per formula unit: 0.00
Crystal system: trigonal

Geometry as POSCAR:
```
ReIr2Rh
1.0
1.3506 0.7798 8.8745
-1.3506 0.7798 8.8745
0.0000 -1.5595 8.8745
Re Ir Rh
1 2 1
Direct
0.0000 0.0000 0.0000
0.5005 0.5005 0.5005
0.7491 0.7491 0.7491
0.2512 0.2512 0.2512
```